[1]
FePSe | PBE | relaxed

## Properties
The formation energy without anion corrections comes out at -5 meV/atom. For the calculated volume, the calculation gives 14.88 A^3/atom. As for the space group: F-43m. The calculation puts the magnetic moment at 0.00 μB/atom.

POSCAR file:
```
FePSe
1.0
5.631 0.000 0.000
0.000 5.631 0.000
0.000 0.000 5.631
Fe P Se
4 4 4
Cartesian
0.000 0.000 0.000
0.000 2.816 2.816
2.816 0.000 2.816
2.816 2.816 0.000
1.408 1.408 4.223
1.408 4.223 1.408
4.223 1.408 1.408
4.223 4.223 4.223
1.408 1.408 1.408
1.408 4.223 4.223
4.223 1.408 4.223
4.223 4.223 1.408
```

[2]
Be6CdAu6 | PBE | relaxed

## Properties
The calculated formation energy is -0.1110 eV per atom. For the calculated volume, the calculation gives 13.77 A^3/atom. As for the space group: Immm. The calculation puts the magnetic moment at 0.00 μB/atom.

POSCAR file:
```
Be6CdAu6
1.0
-2.458 4.227 4.307
2.458 -4.227 4.307
2.458 4.227 -4.307
Be Cd Au
6 1 6
Cartesian
1.229 2.114 -2.153
1.229 -2.114 2.153
0.000 2.033 0.000
-1.229 2.114 2.153
1.229 2.114 2.153
0.000 6.422 0.000
2.458 0.000 0.000
0.000 0.000 1.494
2.458 2.779 0.000
2.458 0.000 2.914
0.000 4.227 1.393
0.000 1.449 4.307
0.000 0.000 7.119
```

[3]
BaAcBi2 | PBE | relaxed

## Properties
The calculated formation energy is -0.8385 eV per atom. For the calculated volume, the calculation gives 43.85 A^3/atom. As for the space group: R-3m. The calculation puts the magnetic moment at 0.00 μB/atom.

POSCAR file:
```
BaAcBi2
1.0
4.928 0.000 0.000
-2.464 4.268 0.000
0.000 0.000 25.021
Ba Ac Bi
3 3 6
Cartesian
0.000 0.000 0.000
0.000 2.845 16.680
2.464 1.423 8.340
0.000 0.000 12.510
0.000 2.845 4.170
2.464 1.423 20.851
0.000 0.000 6.119
0.000 0.000 18.902
0.000 2.845 10.562
0.000 2.845 22.799
2.464 1.423 2.222
2.464 1.423 14.459
```

[4]
Fe3Se | PBE | relaxed

## Properties
The formation energy without anion corrections comes out at 249 meV/atom. For the calculated volume, the calculation gives 12.49 A^3/atom. As for the space group: Fm-3m. The calculation puts the magnetic moment at 1.69 μB/atom.

POSCAR file:
```
Fe3Se
1.0
5.846 0.000 0.000
0.000 5.846 0.000
0.000 0.000 5.846
Fe Se
12 4
Cartesian
0.000 0.000 0.000
0.000 2.923 2.923
1.462 1.462 1.462
1.462 1.462 4.385
1.462 4.385 1.462
1.462 4.385 4.385
2.923 0.000 2.923
2.923 2.923 0.000
4.385 1.462 1.462
4.385 1.462 4.385
4.385 4.385 1.462
4.385 4.385 4.385
0.000 0.000 2.923
0.000 2.923 0.000
2.923 0.000 0.000
2.923 2.923 2.923
```

[5]
SmMgCdSn | PBE | relaxed

## Properties
The calculated formation energy is -0.4608 eV per atom. For the calculated volume, the calculation gives 24.87 A^3/atom. As for the space group: Pmmm. The calculation puts the magnetic moment at 0.00 μB/atom.

POSCAR file:
```
SmMgCdSn
1.0
4.460 0.000 0.000
0.000 4.594 0.000
0.000 0.000 4.855
Sm Mg Cd Sn
1 1 1 1
Cartesian
0.000 0.000 0.000
0.000 2.297 2.427
2.230 0.000 2.427
2.230 2.297 0.000
```

[6]
Tl2PAu | PBE | relaxed

## Properties
The calculated formation energy is 0.3480 eV per atom. For the calculated volume, the calculation gives 23.46 A^3/atom. As for the space group: Cmmm. The calculation puts the magnetic moment at 0.00 μB/atom.

POSCAR file:
```
Tl2PAu
1.0
4.386 0.000 0.000
0.000 5.271 0.000
0.000 0.000 8.117
Tl P Au
4 2 2
Cartesian
0.000 0.000 1.990
0.000 0.000 6.127
2.193 2.635 1.990
2.193 2.635 6.127
0.000 2.635 0.000
2.193 0.000 0.000
0.000 2.635 4.059
2.193 0.000 4.059
```

[7]
Pr3OsI2 | PBE | relaxed

## Properties
The formation energy without anion corrections comes out at -659 meV/atom. For the calculated volume, the calculation gives 33.13 A^3/atom. As for the space group: Immm. The calculation puts the magnetic moment at 0.00 μB/atom.

POSCAR file:
```
Pr3OsI2
1.0
4.158 0.000 0.000
0.000 6.191 0.000
0.000 0.000 15.444
Pr Os I
6 2 4
Cartesian
0.000 0.000 0.000
0.000 0.000 5.878
0.000 0.000 9.566
2.079 3.096 1.844
2.079 3.096 7.722
2.079 3.096 13.600
0.000 3.096 0.000
2.079 0.000 7.722
0.000 3.096 4.868
0.000 3.096 10.576
2.079 0.000 2.854
2.079 0.000 12.590
```

[8]
LaPmYSn | PBE | relaxed

## Properties
The calculated formation energy is -0.2629 eV per atom. For the calculated volume, the calculation gives 30.27 A^3/atom. As for the space group: F-43m. The calculation puts the magnetic moment at 0.00 μB/atom.

POSCAR file:
```
LaPmYSn
1.0
7.853 0.000 0.000
0.000 7.853 0.000
0.000 0.000 7.853
La Pm Y Sn
4 4 4 4
Cartesian
0.000 0.000 0.000
0.000 3.927 3.927
3.927 0.000 3.927
3.927 3.927 0.000
1.963 1.963 1.963
1.963 5.890 5.890
5.890 1.963 5.890
5.890 5.890 1.963
0.000 0.000 3.927
0.000 3.927 0.000
3.927 0.000 0.000
3.927 3.927 3.927
1.963 1.963 5.890
1.963 5.890 1.963
5.890 1.963 1.963
5.890 5.890 5.890
```

[9]
CeErGa | PBE | relaxed

## Properties
The calculated formation energy is -0.1575 eV per atom. For the calculated volume, the calculation gives 28.54 A^3/atom. As for the space group: F-43m. The calculation puts the magnetic moment at 0.21 μB/atom.

POSCAR file:
```
CeErGa
1.0
6.996 0.000 0.000
0.000 6.996 0.000
0.000 0.000 6.996
Ce Er Ga
4 4 4
Cartesian
0.000 0.000 0.000
0.000 3.498 3.498
3.498 0.000 3.498
3.498 3.498 0.000
0.000 0.000 3.498
0.000 3.498 0.000
3.498 0.000 0.000
3.498 3.498 3.498
1.749 1.749 5.247
1.749 5.247 1.749
5.247 1.749 1.749
5.247 5.247 5.247
```

[10]
RbNaCd2Pt | PBE | relaxed

## Properties
The calculated formation energy is -0.0242 eV per atom. For the calculated volume, the calculation gives 35.08 A^3/atom. As for the space group: P4/mmm. The calculation puts the magnetic moment at 0.00 μB/atom.

POSCAR file:
```
RbNaCd2Pt
1.0
5.336 0.000 0.000
0.000 5.336 0.000
0.000 0.000 6.160
Rb Na Cd Pt
1 1 2 1
Cartesian
0.000 0.000 0.000
2.668 2.668 0.000
0.000 2.668 3.080
2.668 0.000 3.080
0.000 0.000 3.080
```

[11]
Ac2HoIn2 | PBE | relaxed

## Properties
The calculated formation energy is -0.3415 eV per atom. For the calculated volume, the calculation gives 35.13 A^3/atom. As for the space group: Immm. The calculation puts the magnetic moment at 0.00 μB/atom.

POSCAR file:
```
Ac2HoIn2
1.0
5.041 0.000 0.000
0.000 7.037 0.000
0.000 0.000 9.905
Ac Ho In
4 2 4
Cartesian
0.000 0.000 1.963
0.000 0.000 7.942
2.520 3.518 2.989
2.520 3.518 6.915
0.000 3.518 0.000
2.520 0.000 4.952
0.000 1.965 4.952
0.000 5.072 4.952
2.520 1.553 0.000
2.520 5.484 0.000
```

[12]
BaCd3Pt | PBE | relaxed

## Properties
The calculated formation energy is 1.2147 eV per atom. For the calculated volume, the calculation gives 53.82 A^3/atom. As for the space group: Pm-3m. The calculation puts the magnetic moment at 0.02 μB/atom.

POSCAR file:
```
BaCd3Pt
1.0
6.456 0.000 0.000
0.000 6.456 0.000
0.000 0.000 6.456
Ba Cd Pt
1 3 1
Cartesian
0.000 0.000 0.000
0.000 0.000 3.228
0.000 3.228 0.000
3.228 0.000 0.000
3.228 3.228 3.228
```

[13]
HgAs2Br | PBE | relaxed

## Properties
The formation energy without anion corrections comes out at 48 meV/atom. For the calculated volume, the calculation gives 27.32 A^3/atom. As for the space group: P2/m. The calculation puts the magnetic moment at 0.00 μB/atom.

POSCAR file:
```
HgAs2Br
1.0
4.418 0.000 0.000
0.000 4.142 0.000
-1.072 0.000 5.972
Hg As Br
1 2 1
Cartesian
0.000 0.000 0.000
0.395 2.071 5.020
2.950 2.071 0.952
1.673 0.000 2.986
```

[14]
SrPmCo | PBE | relaxed

## Properties
The calculated formation energy is 0.1201 eV per atom. For the calculated volume, the calculation gives 34.35 A^3/atom. As for the space group: C2/m. The calculation puts the magnetic moment at 0.17 μB/atom.

POSCAR file:
```
SrPmCo
1.0
11.399 -1.974 0.000
11.399 1.974 0.000
-1.833 0.000 9.162
Sr Pm Co
4 4 4
Cartesian
0.348 0.000 1.867
8.411 0.000 3.533
12.553 0.000 5.629
20.617 0.000 7.295
2.333 0.000 9.037
3.789 0.000 3.490
17.176 0.000 5.672
18.632 0.000 0.125
3.652 0.000 6.308
6.023 0.000 1.873
14.942 0.000 7.289
17.313 0.000 2.854
```

[15]
CaOsCl4 | PBE | relaxed

## Properties
The formation energy without anion corrections comes out at 667 meV/atom. For the calculated volume, the calculation gives 24.50 A^3/atom. As for the space group: F-43m. The calculation puts the magnetic moment at 1.01 μB/atom.

POSCAR file:
```
CaOsCl4
1.0
0.000 4.189 4.189
4.189 0.000 4.189
4.189 4.189 0.000
Ca Os Cl
1 1 4
Cartesian
0.000 0.000 0.000
2.094 2.094 2.094
5.235 3.142 3.142
3.142 5.235 3.142
3.142 3.142 5.235
5.235 5.235 5.235
```

[16]
HfGaAg3 | PBE | relaxed

## Properties
The calculated formation energy is 1.1131 eV per atom. For the calculated volume, the calculation gives 30.03 A^3/atom. As for the space group: Pm-3m. The calculation puts the magnetic moment at 0.00 μB/atom.

POSCAR file:
```
HfGaAg3
1.0
5.315 0.000 0.000
0.000 5.315 0.000
0.000 0.000 5.315
Hf Ga Ag
1 1 3
Cartesian
0.000 0.000 0.000
2.658 2.658 2.658
0.000 0.000 2.658
0.000 2.658 0.000
2.658 0.000 0.000
```

[17]
TbNdAl | PBE | relaxed

## Properties
The calculated formation energy is -0.2243 eV per atom. For the calculated volume, the calculation gives 27.89 A^3/atom. As for the space group: P6_3/mmc. The calculation puts the magnetic moment at 0.00 μB/atom.

POSCAR file:
```
TbNdAl
1.0
5.358 0.000 0.000
-2.679 4.640 0.000
0.000 0.000 6.730
Tb Nd Al
2 2 2
Cartesian
0.000 3.093 1.682
2.679 1.547 5.047
0.000 0.000 0.000
0.000 0.000 3.365
0.000 3.093 5.047
2.679 1.547 1.682
```

[18]
Hf3MnSb | PBE | relaxed

## Properties
The formation energy without anion corrections comes out at 1135 meV/atom. For the calculated volume, the calculation gives 28.29 A^3/atom. As for the space group: Pm-3m. The calculation puts the magnetic moment at 0.75 μB/atom.

POSCAR file:
```
Hf3MnSb
1.0
5.211 0.000 0.000
0.000 5.211 0.000
0.000 0.000 5.211
Hf Mn Sb
3 1 1
Cartesian
0.000 0.000 2.605
0.000 2.605 0.000
2.605 0.000 0.000
2.605 2.605 2.605
0.000 0.000 0.000
```

[19]
TbDy7Sc2 | PBE | relaxed

## Properties
The calculated formation energy is 0.6578 eV per atom. For the calculated volume, the calculation gives 36.72 A^3/atom. As for the space group: Cmmm. The calculation puts the magnetic moment at 0.00 μB/atom.

POSCAR file:
```
TbDy7Sc2
1.0
4.388 -7.555 0.000
4.388 7.555 0.000
0.000 0.000 5.539
Tb Dy Sc
1 7 2
Cartesian
0.000 0.000 0.000
1.591 1.814 2.769
4.388 3.929 0.000
1.591 -1.814 2.769
4.388 0.000 2.769
7.184 1.814 2.769
4.388 -3.929 0.000
7.184 -1.814 2.769
4.388 3.097 2.769
4.388 -3.097 2.769
```

[20]
NdSmEr5 | PBE | relaxed

## Properties
The calculated formation energy is 0.9813 eV per atom. For the calculated volume, the calculation gives 40.85 A^3/atom. As for the space group: Imm2. The calculation puts the magnetic moment at 0.00 μB/atom.

POSCAR file:
```
NdSmEr5
1.0
7.987 0.000 0.000
0.000 11.616 0.000
0.000 0.000 6.165
Nd Sm Er
2 2 10
Cartesian
0.000 0.000 0.000
3.994 5.808 3.082
0.000 5.808 4.570
3.994 0.000 1.487
0.000 2.977 0.065
0.000 5.808 1.649
0.000 8.639 0.065
1.443 0.000 3.107
2.551 5.808 0.025
3.994 0.000 4.731
3.994 2.831 3.147
3.994 8.785 3.147
5.436 5.808 0.025
6.545 0.000 3.107
```

[21]
Tc2AgW | PBE | relaxed

## Properties
The calculated formation energy is 0.3388 eV per atom. For the calculated volume, the calculation gives 15.91 A^3/atom. As for the space group: R-3m. The calculation puts the magnetic moment at 0.00 μB/atom.

POSCAR file:
```
Tc2AgW
1.0
2.815 0.000 0.000
-1.407 2.438 0.000
0.000 0.000 27.828
Tc Ag W
6 3 3
Cartesian
0.000 0.000 6.815
0.000 0.000 21.013
0.000 1.625 11.737
0.000 1.625 25.367
1.407 0.813 2.461
1.407 0.813 16.091
0.000 0.000 0.000
0.000 1.625 18.552
1.407 0.813 9.276
0.000 0.000 13.914
0.000 1.625 4.638
1.407 0.813 23.190
```

[22]
Ce2PuCrN5 | PBE | relaxed

## Properties
The formation energy without anion corrections comes out at -1123 meV/atom. For the calculated volume, the calculation gives 13.37 A^3/atom. As for the space group: Cmc2_1. The calculation puts the magnetic moment at 0.78 μB/atom.

POSCAR file:
```
Ce2PuCrN5
1.0
1.723 -6.773 0.000
1.723 6.773 0.000
0.000 0.000 10.308
Ce Pu Cr N
4 2 2 10
Cartesian
1.723 5.348 5.154
1.723 4.820 1.162
1.723 -4.820 6.316
1.723 -5.348 0.000
1.723 4.005 8.460
1.723 -4.005 3.306
1.723 0.186 2.758
1.723 -0.186 7.912
1.723 6.237 8.680
1.723 3.002 4.828
1.723 2.350 1.915
1.723 1.715 8.402
1.723 0.221 6.118
1.723 -0.221 0.964
1.723 -1.715 3.248
1.723 -2.350 7.069
1.723 -3.002 9.982
1.723 -6.237 3.526
```

[23]
Th4In | PBE | relaxed

## Properties
The calculated formation energy is 0.2507 eV per atom. For the calculated volume, the calculation gives 35.03 A^3/atom. As for the space group: P2_1/c. The calculation puts the magnetic moment at 0.00 μB/atom.

POSCAR file:
```
Th4In
1.0
8.382 0.000 0.000
0.000 5.957 0.000
-0.033 0.000 7.016
Th In
8 2
Cartesian
1.269 1.491 0.015
1.252 1.488 3.523
1.755 4.463 1.759
1.738 4.472 5.267
6.611 1.485 1.749
6.594 1.494 5.257
7.097 4.469 3.492
7.080 4.466 7.000
4.174 0.000 3.508
4.191 2.978 0.000
```

[24]
YAlIr2 | PBE | relaxed

## Properties
The calculated formation energy is -0.7028 eV per atom. For the calculated volume, the calculation gives 17.02 A^3/atom. As for the space group: P4/mmm. The calculation puts the magnetic moment at 0.00 μB/atom.

POSCAR file:
```
YAlIr2
1.0
4.421 0.000 0.000
0.000 4.421 0.000
0.000 0.000 3.483
Y Al Ir
1 1 2
Cartesian
0.000 0.000 0.000
2.210 2.210 0.000
0.000 2.210 1.741
2.210 0.000 1.741
```

[25]
As3C | PBE | relaxed

## Properties
The calculated formation energy is 1.4678 eV per atom. For the calculated volume, the calculation gives 16.73 A^3/atom. As for the space group: I4/mmm. The calculation puts the magnetic moment at 0.00 μB/atom.

POSCAR file:
```
As3C
1.0
3.673 0.000 0.000
0.000 3.673 0.000
0.000 0.000 19.842
As C
12 4
Cartesian
0.000 0.000 2.611
0.000 0.000 17.231
0.000 1.836 0.000
0.000 1.836 4.960
0.000 1.836 9.921
0.000 1.836 14.881
1.836 0.000 0.000
1.836 0.000 4.960
1.836 0.000 9.921
1.836 0.000 14.881
1.836 1.836 7.310
1.836 1.836 12.532
0.000 0.000 8.238
0.000 0.000 11.604
1.836 1.836 1.683
1.836 1.836 18.159
```

[26]
PRh | PBE | relaxed

## Properties
The calculated formation energy is -0.2490 eV per atom. For the calculated volume, the calculation gives 15.91 A^3/atom. As for the space group: P4/nmm. The calculation puts the magnetic moment at 0.00 μB/atom.

POSCAR file:
```
PRh
1.0
2.896 0.000 0.000
0.000 2.896 0.000
0.000 0.000 7.588
P Rh
2 2
Cartesian
0.724 0.724 1.473
2.172 2.172 6.114
0.724 0.724 4.867
2.172 2.172 2.720
```

[27]
RbSrOs2Ru | PBE | relaxed

## Properties
The calculated formation energy is 3.2098 eV per atom. For the calculated volume, the calculation gives 28.00 A^3/atom. As for the space group: P4/mmm. The calculation puts the magnetic moment at 0.95 μB/atom.

POSCAR file:
```
RbSrOs2Ru
1.0
5.054 0.000 0.000
0.000 5.054 0.000
0.000 0.000 5.481
Rb Sr Os Ru
1 1 2 1
Cartesian
0.000 0.000 0.000
0.000 0.000 2.740
0.000 2.527 2.740
2.527 0.000 2.740
2.527 2.527 0.000
```